LiMgOs2: relaxed, PBE-GGA.

Values from the calculation:
energy = -6.077 eV per atom
DFT formation energy = 0.4154 eV/atom
total magnetization = 0.104 μB per cell

Cell lengths 2.6094, 2.6094, 8.6934 Å; angles 90.00, 90.00, 90.00 degrees
With the nearest neighbours (Å) after each atom.
Atoms (fractional coordinates):
Li1 0.0000 0.0000 0.0000  4 Li 2.61, 8 Os 2.84
Mg1 0.0000 0.0000 0.5000  4 Mg 2.61, 8 Os 2.86
Os1 0.5000 0.5000 0.2487  4 Os 2.61, 4 Li 2.84, 4 Mg 2.86
Os2 0.5000 0.5000 0.7513  4 Os 2.61, 4 Li 2.84, 4 Mg 2.86